A relaxed InCu2SiIr crystal, computed with PBEsol.

Summary:
Crystal system: tetragonal
Electronic total energy: -3.71 eV per atom
N(E_F): 0.82 states/eV per atom
Total moment: 0.0 μB/f.u.
Uncorrected formation energy: 1735 meV per atom

Structure (CIF):
```
data_InCu2SiIr
_cell_length_a 4.532
_cell_length_b 4.532
_cell_length_c 4.764
_cell_angle_alpha 90.00
_cell_angle_beta 90.00
_cell_angle_gamma 90.00
_symmetry_space_group_name_H-M 'P 4/m m m'
_symmetry_Int_Tables_number 123
_symmetry_space_group_name_Hall '-P 4 2'
loop_
_atom_site_label
_atom_site_type_symbol
_atom_site_fract_x
_atom_site_fract_y
_atom_site_fract_z
In1 In 0.000 0.000 0.000
Cu1 Cu 0.000 0.500 0.000
Si1 Si 0.000 0.000 0.500
Ir1 Ir 0.500 0.500 0.500
```